This record from Alexandria describes a geometry-optimized Cr2CdO4 structure. The functional is PBE+U.

Cell: 6.202 6.202 6.202 Å, 60.00 60.00 60.00°
Atoms (fractional coordinates):
Cr 0.000 0.000 0.000
Cr 0.000 0.000 0.500
Cr 0.000 0.500 0.000
Cr 0.500 0.000 0.000
Cd 0.375 0.375 0.375
Cd 0.625 0.625 0.625
O 0.195 0.768 0.768
O 0.232 0.232 0.232
O 0.232 0.232 0.805
O 0.232 0.805 0.232
O 0.768 0.195 0.768
O 0.768 0.768 0.195
O 0.768 0.768 0.768
O 0.805 0.232 0.232

Final energy in eV per cell: -96.20
Space-group type: Fd-3m
Total magnetic moment in μB/f.u.: 6.000